1.
Pm2Ni4BiAs3 | PBE | optimized geometry

a = 4.2405 Å, b = 4.2405 Å, c = 10.0277 Å
α = 90.00°, β = 90.00°, γ = 90.00°
Fractional positions:
Pm 0.5000 0.0000 0.2247
Pm 0.0000 0.5000 0.7753
Ni 0.5000 0.5000 0.0000
Ni 0.0000 0.0000 0.0000
Ni 0.5000 0.0000 0.6454
Ni 0.0000 0.5000 0.3546
Bi 0.5000 0.5000 0.5000
As 0.0000 0.0000 0.5000
As 0.5000 0.0000 0.8776
As 0.0000 0.5000 0.1224

Summary:
Uncorrected energy: -0.4189 Ry per atom

2.
ScMnV2 | PBE | optimized geometry

a = 2.8062 Å, b = 2.8062 Å, c = 9.1404 Å
α = 81.17°, β = 81.17°, γ = 60.00°
Fractional positions:
Sc 0.0000 0.0000 0.0000
Mn 0.5000 0.5000 0.5000
V 0.1006 0.1006 0.6982
V 0.8994 0.8994 0.3018

Summary:
Excess energy over the best structure of this formula in the dataset: 239 meV/atom

3.
Li2La2SmGa2 | PBE | optimized geometry

a = 4.7035 Å, b = 4.7035 Å, c = 9.2151 Å
α = 75.21°, β = 75.21°, γ = 60.00°
Fractional positions:
Li 0.6058 0.6058 0.1825
Li 0.3942 0.3942 0.8175
La 0.1322 0.1322 0.6034
La 0.8678 0.8678 0.3966
Sm 0.0000 0.0000 0.0000
Ga 0.7341 0.7341 0.7978
Ga 0.2659 0.2659 0.2022

Summary:
Uncorrected energy: -0.2799 Ry per atom

4.
Ce5InGe3 | PBE | optimized geometry

a = 6.2917 Å, b = 9.0991 Å, c = 9.0991 Å
α = 120.00°, β = 90.00°, γ = 90.00°
Each line ends with the local moment (μB).
Fractional positions:
Ce 0.0000 0.6667 0.3333  1.09
Ce 0.5000 0.3333 0.6667  1.09
Ce 0.0000 0.3333 0.6667  1.09
Ce 0.5000 0.6667 0.3333  1.09
Ce 0.7500 0.6948 0.6948  0.77
Ce 0.7500 0.0000 0.3052  0.77
Ce 0.7500 0.3052 0.0000  0.77
Ce 0.2500 0.3052 0.3052  0.77
Ce 0.2500 0.0000 0.6948  0.77
Ce 0.2500 0.6948 0.0000  0.77
In 0.0000 0.0000 0.0000  0.05
In 0.5000 0.0000 0.0000  0.05
Ge 0.7500 0.3598 0.3599  -0.03
Ge 0.7500 0.0000 0.6401  -0.03
Ge 0.7500 0.6402 0.0000  -0.03
Ge 0.2500 0.6402 0.6401  -0.03
Ge 0.2500 0.0000 0.3599  -0.03
Ge 0.2500 0.3598 0.0000  -0.03

Summary:
Uncorrected energy: -0.4200 Ry per atom

| no. | calculated volume (A^3/atom) |
| --- | --- |
| 1 | 18.0 |
| 2 | 15.3 |
| 3 | 24.1 |
| 4 | 25.1 |